LaMn2Cu: PBEsol geometry, SCAN.

Cell: 4.0782 4.0782 3.9763 Å, 90.00 90.00 90.00°
With the nearest neighbours (Å) after each atom.
Space group P4/mmm (No. 123)
Asymmetric unit:
1 La 0.0000 0.0000 0.0000 (multiplicity 1)  8 Mn 2.85, 4 Cu 2.88
2 Mn 0.0000 0.5000 0.5000 (multiplicity 2)  4 Cu 2.85, 4 La 2.85, 4 Mn 2.88
3 Cu 0.5000 0.5000 0.0000 (multiplicity 1)  8 Mn 2.85, 4 La 2.88

Output
The calculation puts the electronic total energy at -23.42 eV per atom. The total magnetic moment is 5.69 μB/f.u. The value obtained for the energy relative to the elements is 0.28 eV per atom.